[1]
Material: Y3BeW
Method: DFT, PBE-GGA
State: relaxed

Summary:
**Total DFT energy (no corrections)**: -31.18 eV/cell
**Total magnetization**: 2.10 μB per formula unit
**Energy relative to the lowest polymorph listed for this composition**: 0.0 meV per atom

Lattice parameters (Å, degrees): 5.0709 5.0709 5.0709 90.00 90.00 90.00
Last column: nearest neighbours and their distance in Å.
Space group Pm-3m (No. 221)
One atom of each set of equivalent atoms:
Y 0.0000 0.0000 0.5000  2 Be 2.54
Be 0.0000 0.0000 0.0000  6 Y 2.54
W 0.5000 0.5000 0.5000  12 Y 3.59

[2]
Material: BaLaMnV2
Method: DFT, PBE-GGA
State: relaxed

Summary:
**Total DFT energy (no corrections)**: -24.15 eV/cell
**Total magnetization**: 0.37 μB per formula unit

Lattice parameters (Å, degrees): 5.0939 5.0939 5.6723 90.00 90.00 90.00
Last column: nearest neighbours and their distance in Å.
Space group P4/mmm (No. 123)
One atom of each set of equivalent atoms:
Ba 0.0000 0.0000 0.0000  4 V 2.55, 2 La 2.84
La 0.0000 0.0000 0.5000  2 Ba 2.84
Mn 0.5000 0.5000 0.5000  4 La 3.60, 8 V 3.81
V 0.0000 0.5000 0.0000  2 Ba 2.55

[3]
Material: CoNiRh2
Method: DFT, PBE-GGA
State: relaxed

Summary:
**Total DFT energy (no corrections)**: -27.32 eV/cell
**Total magnetization**: 2.56 μB per formula unit
**Energy relative to the lowest polymorph listed for this composition**: 13.3 meV per atom

Lattice parameters (Å, degrees): 2.6690 2.6690 7.1541 90.00 90.00 90.00
Last column: nearest neighbours and their distance in Å.
Space group P4mm (No. 99)
One atom of each set of equivalent atoms:
Co 0.0000 0.0000 0.0000  4 Ni 2.47, 4 Rh 2.60, 4 Co 2.67
Ni 0.5000 0.5000 0.2232  4 Co 2.47, 4 Rh 2.63, 4 Ni 2.67
Rh 0.0000 0.0000 0.4787  4 Ni 2.63, 8 Rh 2.67-2.70
Rh 0.5000 0.5000 0.7490  4 Co 2.60, 8 Rh 2.67-2.70

[4]
Material: MgGa2SiN
Method: DFT, PBE-GGA
State: relaxed

Summary:
**Total DFT energy (no corrections)**: -20.59 eV/cell
**Total magnetization**: 0.00 μB per formula unit
**Raw formation energy**: 0.16 eV per atom

Lattice parameters (Å, degrees): 4.3594 4.3594 4.0261 90.00 90.00 90.00
Last column: nearest neighbours and their distance in Å.
Space group P4/mmm (No. 123)
One atom of each set of equivalent atoms:
Mg 0.0000 0.0000 0.0000  2 N 2.01
Ga 0.0000 0.5000 0.5000  2 N 2.18
Si 0.5000 0.5000 0.0000  8 Ga 2.97, 4 Mg 3.08
N 0.0000 0.0000 0.5000  2 Mg 2.01, 4 Ga 2.18

[5]
Material: TaReSN2
Method: DFT, PBE-GGA
State: relaxed

Summary:
**Total DFT energy (no corrections)**: -41.13 eV/cell
**Total magnetization**: 1.12 μB per formula unit
**Raw formation energy**: 0.79 eV per atom
**Energy relative to the lowest polymorph listed for this composition**: 0.0 meV per atom

Lattice parameters (Å, degrees): 3.8254 3.8254 4.8815 90.00 90.00 90.00
Last column: nearest neighbours and their distance in Å.
Space group P4/mmm (No. 123)
One atom of each set of equivalent atoms:
Ta 0.0000 0.0000 0.0000  4 S 2.70
Re 0.5000 0.5000 0.5000  4 N 1.91
S 0.5000 0.5000 0.0000  2 Re 2.44, 4 Ta 2.70
N 0.0000 0.5000 0.5000  2 Re 1.91

[6]
Material: TaPRu2
Method: DFT, PBE-GGA
State: relaxed

Summary:
**Total DFT energy (no corrections)**: -74.02 eV/cell
**Total magnetization**: 0.00 μB per formula unit

Lattice parameters (Å, degrees): 3.9221 2.9086 10.2363 90.00 90.00 90.00
Last column: nearest neighbours and their distance in Å.
Space group Amm2 (No. 38)
One atom of each set of equivalent atoms:
Ta 0.0000 0.0000 0.0000  4 P 2.69, 7 Ru 2.73-2.80, 2 Ta 2.91
P 0.5000 0.0000 0.6094  3 Ru 2.34-2.45
Ru 0.0000 0.0000 0.7334  2 P 2.34
Ru 0.5000 0.0000 0.3702  1 P 2.45

What did the sixth record say?
Material: TaPRu2
Method: DFT, PBE-GGA
State: relaxed

Summary:
**Total DFT energy (no corrections)**: -74.02 eV/cell
**Total magnetization**: 0.00 μB per formula unit

Lattice parameters (Å, degrees): 3.9221 2.9086 10.2363 90.00 90.00 90.00
Last column: nearest neighbours and their distance in Å.
Space group Amm2 (No. 38)
One atom of each set of equivalent atoms:
Ta 0.0000 0.0000 0.0000  4 P 2.69, 7 Ru 2.73-2.80, 2 Ta 2.91
P 0.5000 0.0000 0.6094  3 Ru 2.34-2.45
Ru 0.0000 0.0000 0.7334  2 P 2.34
Ru 0.5000 0.0000 0.3702  1 P 2.45